NaMg2In7: relaxed, PBE-GGA.

Cell: 8.151 17.486 4.296 Å, 90.00 90.00 90.00°
Space group Cmmm (No. 65)
Inequivalent atoms, fractional coordinates:
Na1 0.000 0.000 0.000
Mg1 0.000 0.303 0.500
In1 0.000 0.188 0.000
In2 0.000 0.500 0.500
In3 0.200 0.104 0.500

- ΔE_f: 1.48 eV/f.u.
- Fermi-level density of states: 9.61 states/eV per cell
- Total energy: -2.22 eV/atom